[1]
Compound: MgAlW2
Source: Alexandria
Functional: PBE-GGA
Structure: relaxed

Unit cell a=2.7180 b=4.3737 c=5.4621 alpha=90.00 beta=90.00 gamma=90.00
Closest atoms and distances in Å follow each position.
Element x y z (fractional)
Al 0.5000 0.5000 0.2500  2 Al 2.72, 2 Mg 2.73, 8 W 2.90
Mg 0.5000 0.5000 0.7500  2 Mg 2.72, 2 Al 2.73, 8 W 2.93
W 0.0000 0.0000 0.0052  4 W 2.67-2.79, 4 Al 2.90, 4 Mg 2.93
W 0.0000 0.0000 0.4948  4 W 2.67-2.79, 4 Al 2.90, 4 Mg 2.93

E above lowest polymorph = 121 meV/atom
Space-group type = Pmmm (47)
Energy = -7.537 eV/atom
E_form = 26.4 kJ per mole of atoms
Mass density = 10.71 g/cm3

[2]
Compound: GeSe2IBr
Source: Alexandria
Functional: PBE-GGA
Structure: relaxed

Unit cell a=5.4372 b=5.4372 c=5.5765 alpha=90.00 beta=90.00 gamma=90.00
Closest atoms and distances in Å follow each position.
Element x y z (fractional)
I 0.0000 0.0000 0.0000  4 Se 2.72, 2 Br 2.79
Ge 0.5000 0.5000 0.5000  4 Br 3.84, 8 Se 3.89
Se 0.0000 0.5000 0.0000  2 I 2.72
Se 0.5000 0.0000 0.0000  2 I 2.72
Br 0.0000 0.0000 0.5000  2 I 2.79

Raw formation energy = 758 meV/atom
E above lowest polymorph = 435 meV/atom
Space-group type = P4/mmm (123)
Energy = -2.204 eV/atom
Mass density = 4.41 g/cm3

[3]
Compound: ReNiTe
Source: Alexandria
Functional: PBE-GGA
Structure: relaxed

Unit cell a=4.9680 b=4.9680 c=3.2769 alpha=70.74 beta=70.74 gamma=38.51
Closest atoms and distances in Å follow each position.
Element x y z (fractional)
Ni 0.0003 0.0003 0.9997  5 Te 2.72-2.97, 5 Re 2.72-2.96
Re 0.3373 0.3373 0.6627  5 Ni 2.72-2.96, 5 Te 2.78-2.86
Te 0.6624 0.6624 0.3376  5 Ni 2.72-2.97, 5 Re 2.78-2.86

Raw formation energy = 567 meV/atom
E above lowest polymorph = 33 meV/atom
Space-group type = I4mm (107)
Energy = -6.556 eV/atom
Mass density = 13.11 g/cm3

[4]
Compound: La2InGaPb
Source: Alexandria
Functional: PBE-GGA
Structure: relaxed

Unit cell a=6.1435 b=5.1890 c=6.1435 alpha=90.00 beta=90.00 gamma=90.00
Closest atoms and distances in Å follow each position.
Element x y z (fractional)
Pb 0.0000 0.0000 0.0000  2 Ga 2.59
In 0.5000 0.5000 0.5000  8 La 4.02, 4 Ga 4.34
Ga 0.0000 0.5000 0.0000  2 Pb 2.59
La 0.0000 0.0000 0.5000  2 Pb 3.07
La 0.5000 0.0000 0.0000  2 Pb 3.07

Space-group type = P4/mmm (123)
Energy = -3.655 eV/atom
E_form = 20.3 kJ per mole of atoms
Mass density = 5.68 g/cm3